A plane-wave DFT calculation with PBEsol was carried out for an optimized crystal structure of YBi3Pt.

```
data_YBi3Pt
_chemical_formula_sum 'Y1 Bi3 Pt1'
_cell_length_a 5.3606
_cell_length_b 5.3606
_cell_length_c 5.3606
_cell_angle_alpha 90.00
_cell_angle_beta 90.00
_cell_angle_gamma 90.00
_space_group_name_H-M_alt 'P 1'
_space_group_IT_number 1
loop_
_space_group_symop_operation_xyz
'x,y,z'
loop_
_atom_site_label
_atom_site_fract_x
_atom_site_fract_y
_atom_site_fract_z
Bi1 0.0000 0.0000 0.5000
Bi2 0.0000 0.5000 0.0000
Bi3 0.5000 0.0000 0.0000
Y1 0.5000 0.5000 0.5000
Pt1 0.0000 0.0000 0.0000
```

energy = -0.1929 Ha/atom
mass density = 9.82 Mg/m³
ΔE_f = 0.08 eV/atom